[1]
VASP calculation (PBE-GGA) on a relaxed structure of Nd12Ga6Co.

Computed properties:
As for the crystal system: trigonal. For the total energy, the calculation gives -4.616 eV/atom. The density of states at the Fermi level comes out at 58.60 states/eV per cell. The formation energy comes out at -0.275 eV per atom.

Unit cell a=11.9563 b=11.9563 c=13.5027 alpha=90.00 beta=90.00 gamma=120.00
Space group R-3 (No. 148, hexagonal axes)
Unique sites:
Nd 0.0375 0.1973 0.3903 (multiplicity 18)
Nd 0.0394 0.8424 0.8801 (multiplicity 18)
Ga 0.0054 0.4020 0.2571 (multiplicity 18)
Co 0.0000 0.0000 0.0000 (multiplicity 3)

[2]
VASP calculation (PBE-GGA) on a relaxed structure of Nd3GaCo3.

Computed properties:
As for the crystal system: orthorhombic. For the total energy, the calculation gives -5.743 eV/atom. The density of states at the Fermi level comes out at 32.55 states/eV per cell. The formation energy comes out at -0.222 eV per atom.

Unit cell a=4.207 b=10.283 c=13.190 alpha=90.00 beta=90.00 gamma=90.00
Space group Cmcm (No. 63)
Unique sites:
Nd 0.000 0.003 0.250 (multiplicity 4)
Nd 0.000 0.289 0.603 (multiplicity 8)
Ga 0.000 0.000 0.000 (multiplicity 4)
Co 0.000 0.312 0.250 (multiplicity 4)
Co 0.000 0.422 0.094 (multiplicity 8)

[3]
VASP calculation (PBE-GGA) on a relaxed structure of Nd2Ga8Co.

Computed properties:
As for the crystal system: tetragonal. For the total energy, the calculation gives -4.185 eV/atom. The density of states at the Fermi level comes out at 5.06 states/eV per cell. The formation energy comes out at -0.471 eV per atom.

Unit cell a=4.312 b=4.312 c=11.371 alpha=90.00 beta=90.00 gamma=90.00
Space group P4/mmm (No. 123)
Unique sites:
Nd 0.000 0.000 0.196 (multiplicity 2)
Ga 0.000 0.500 0.000 (multiplicity 2)
Ga 0.000 0.500 0.388 (multiplicity 4)
Ga 0.500 0.500 0.195 (multiplicity 2)
Co 0.000 0.000 0.500 (multiplicity 1)

[4]
VASP calculation (PBE-GGA) on a relaxed structure of NdGa4Co2Ni.

Computed properties:
As for the crystal system: trigonal. For the total energy, the calculation gives -5.002 eV/atom. The density of states at the Fermi level comes out at 15.87 states/eV per cell. The formation energy comes out at -0.393 eV per atom.

Unit cell a=4.0877 b=4.0877 c=26.2949 alpha=90.00 beta=90.00 gamma=120.00
Space group R-3m (No. 166, hexagonal axes)
Unique sites:
Nd 0.0000 0.0000 0.0000 (multiplicity 3)
Ga 0.0000 0.0000 0.1312 (multiplicity 6)
Ga 0.0000 0.0000 0.4061 (multiplicity 6)
Co 0.0000 0.0000 0.2271 (multiplicity 6)
Ni 0.0000 0.0000 0.5000 (multiplicity 3)

[5]
VASP calculation (PBE-GGA) on a relaxed structure of NdGa3CoPd.

Computed properties:
As for the crystal system: orthorhombic. For the total energy, the calculation gives -4.726 eV/atom. The density of states at the Fermi level comes out at 14.98 states/eV per cell. The formation energy comes out at -0.368 eV per atom.

Unit cell a=7.535 b=10.811 c=5.899 alpha=90.00 beta=90.00 gamma=90.00
Space group Cmcm (No. 63)
Unique sites:
Nd 0.000 0.250 0.250 (multiplicity 4)
Ga 0.000 0.229 0.750 (multiplicity 4)
Ga 0.240 0.000 0.000 (multiplicity 8)
Co 0.000 0.023 0.750 (multiplicity 4)
Pd 0.000 0.451 0.750 (multiplicity 4)

[6]
VASP calculation (PBE-GGA) on a relaxed structure of Nd2Ga6CoPd.

Computed properties:
As for the crystal system: cubic. For the total energy, the calculation gives -4.378 eV/atom. The density of states at the Fermi level comes out at 29.50 states/eV per cell. The formation energy comes out at -0.379 eV per atom.

Unit cell a=9.367 b=9.367 c=9.367 alpha=90.00 beta=90.00 gamma=90.00
Space group Fm-3m (No. 225)
Unique sites:
Nd 0.250 0.250 0.250 (multiplicity 8)
Ga 0.000 0.000 0.242 (multiplicity 24)
Co 0.000 0.000 0.000 (multiplicity 4)
Pd 0.000 0.000 0.500 (multiplicity 4)